Record 1
This record from Alexandria via LeMat-Bulk describes Mg3SeS2 after structural relaxation. The functional is PBE.

Properties
* M_tot: 0.000 Bohr magnetons per cell
* space group: No. 71
* uncorrected energy: -4.11 eV/atom
* N(E_F): 0.00 states/eV/cell

abc: 3.7583 5.3312 6.5214
angles: 114.13 106.75 90.00
Closest atoms and distances in Å follow each position.
Atoms (fractional coordinates):
Mg  0.8248  0.3248  0.1496  4 S 2.59-2.67, 2 Se 2.73
Mg  0.5000  0.0000  0.5000  4 S 2.66, 2 Se 2.67
Mg  0.1752  0.6752  0.8504  4 S 2.59-2.67, 2 Se 2.73
S  0.1663  0.1663  0.8327  6 Mg 2.59-2.67
S  0.8337  0.8337  0.1673  6 Mg 2.59-2.67
Se  0.5000  0.5000  0.5000  6 Mg 2.67-2.73



Record 2
This record from Alexandria via LeMat-Bulk describes MgSeS2 after structural relaxation. The functional is PBE.

Properties
* M_tot: 0.000 Bohr magnetons per cell
* space group: No. 225
* energy above the most stable polymorph in this dataset: 0.6001 eV per atom
* N(E_F): 3.32 states/eV/cell

abc: 4.6795 4.6795 4.6795
angles: 60.00 60.00 60.00
Closest atoms and distances in Å follow each position.
Atoms (fractional coordinates):
S  0.7500  0.7500  0.7500  4 Se 2.87, 4 Mg 2.87
S  0.2500  0.2500  0.2500  4 Se 2.87, 4 Mg 2.87
Mg  0.0000  0.0000  0.0000  8 S 2.87
Se  0.5000  0.5000  0.5000  8 S 2.87



Record 3
This record from Alexandria via LeMat-Bulk describes Mg3SeS2 after structural relaxation. The functional is PBE.

Properties
* M_tot: 0.000 Bohr magnetons per cell
* space group: No. 9
* uncorrected energy: -4.11 eV/atom
* N(E_F): 0.00 states/eV/cell

abc: 7.1058 7.1058 7.0778
angles: 99.58 99.58 120.03
Closest atoms and distances in Å follow each position.
Atoms (fractional coordinates):
Mg  0.2347  0.0549  0.8921  2 S 2.46-2.47, 2 Se 2.58
Mg  0.5427  0.7084  0.8785  3 S 2.47-2.48, 1 Se 2.59
Mg  0.7084  0.5427  0.3785  3 S 2.47-2.48, 1 Se 2.59
Mg  0.0549  0.2347  0.3921  2 S 2.46-2.47, 2 Se 2.58
Mg  0.8848  0.3983  0.8793  3 S 2.47-2.48, 1 Se 2.58
Mg  0.3983  0.8848  0.3793  3 S 2.47-2.48, 1 Se 2.58
S  0.2638  0.7591  0.0078  4 Mg 2.47-2.48
S  0.5954  0.4296  0.0077  4 Mg 2.46-2.48
S  0.7591  0.2638  0.5078  4 Mg 2.47-2.48
S  0.4296  0.5954  0.5077  4 Mg 2.46-2.48
Se  0.9267  0.0966  0.0058  4 Mg 2.58-2.59
Se  0.0966  0.9267  0.5058  4 Mg 2.58-2.59



Record 4
This record from Alexandria via LeMat-Bulk describes MgSe2S2 after structural relaxation. The functional is PBE.

Properties
* M_tot: 0.000 Bohr magnetons per cell
* space group: No. 139
* energy above the most stable polymorph in this dataset: 0.0000 eV per atom
* N(E_F): 2.65 states/eV/cell

abc: 3.6503 3.6503 9.9368
angles: 79.42 79.42 90.00
Closest atoms and distances in Å follow each position.
Atoms (fractional coordinates):
S  0.4429  0.4429  0.1142  1 S 2.19
S  0.5571  0.5571  0.8858  1 S 2.19
Mg  0.0000  0.0000  0.0000  8 S 2.80
Se  0.7500  0.2500  0.5000  4 Se 2.58
Se  0.2500  0.7500  0.5000  4 Se 2.58



Record 5
This record from Alexandria via LeMat-Bulk describes Mg3SeS after structural relaxation. The functional is PBE.

Properties
* M_tot: 0.000 Bohr magnetons per cell
* space group: No. 221
* energy above the most stable polymorph in this dataset: 0.2793 eV per atom
* N(E_F): 4.00 states/eV/cell

abc: 5.1057 5.1057 5.1057
angles: 90.00 90.00 90.00
Closest atoms and distances in Å follow each position.
Atoms (fractional coordinates):
Se  0.0000  0.0000  0.0000  6 Mg 2.55
Mg  0.0000  0.5000  0.0000  2 Se 2.55
Mg  0.0000  0.0000  0.5000  2 Se 2.55
Mg  0.5000  0.0000  0.0000  2 Se 2.55
S  0.5000  0.5000  0.5000  12 Mg 3.61



Record 6
This record from Alexandria via LeMat-Bulk describes MgSe2S after structural relaxation. The functional is PBE.

Properties
* M_tot: 0.000 Bohr magnetons per cell
* space group: No. 122
* energy above the most stable polymorph in this dataset: 0.0337 eV per atom
* N(E_F): 0.38 states/eV/cell

abc: 5.4132 5.4132 8.1481
angles: 70.60 70.60 90.00
Closest atoms and distances in Å follow each position.
Atoms (fractional coordinates):
Mg  0.2500  0.7500  0.5000  4 Se 2.72
Mg  0.5000  0.5000  0.0000  4 Se 2.72
Se  0.0937  0.6250  0.2500  2 S 2.54, 2 Mg 2.72
Se  0.3750  0.3437  0.7500  2 S 2.54, 2 Mg 2.72
Se  0.6563  0.1250  0.2500  2 S 2.54, 2 Mg 2.72
Se  0.8750  0.9063  0.7500  2 S 2.54, 2 Mg 2.72
S  0.7500  0.2500  0.5000  4 Se 2.54
S  0.0000  0.0000  0.0000  4 Se 2.54



Record 7
This record from Alexandria via LeMat-Bulk describes MgSeS2 after structural relaxation. The functional is PBE.

Properties
* M_tot: 0.000 Bohr magnetons per cell
* space group: No. 122
* energy above the most stable polymorph in this dataset: 0.2417 eV per atom
* N(E_F): 0.07 states/eV/cell

abc: 5.1934 5.1934 8.0121
angles: 71.09 71.09 90.00
Closest atoms and distances in Å follow each position.
Atoms (fractional coordinates):
Se  0.7500  0.2500  0.5000  4 S 2.54
Se  0.0000  0.0000  0.0000  4 S 2.54
S  0.1198  0.6250  0.2500  2 Se 2.54, 2 Mg 2.57
S  0.6302  0.1250  0.2500  2 Se 2.54, 2 Mg 2.57
S  0.3750  0.3698  0.7500  2 Se 2.54, 2 Mg 2.57
S  0.8750  0.8802  0.7500  2 Se 2.54, 2 Mg 2.57
Mg  0.5000  0.5000  0.0000  4 S 2.57
Mg  0.2500  0.7500  0.5000  4 S 2.57



Record 8
This record from Alexandria via LeMat-Bulk describes Mg2SeS after structural relaxation. The functional is PBE.

Properties
* M_tot: 0.000 Bohr magnetons per cell
* space group: No. 122
* energy above the most stable polymorph in this dataset: 0.0000 eV per atom
* N(E_F): 0.00 states/eV/cell

abc: 5.8510 5.8510 7.1495
angles: 65.85 65.85 90.00
Closest atoms and distances in Å follow each position.
Atoms (fractional coordinates):
Mg  0.1414  0.6250  0.2500  2 S 2.48, 2 Se 2.59
Mg  0.3750  0.3914  0.7500  2 S 2.48, 2 Se 2.59
Mg  0.8750  0.8586  0.7500  2 S 2.48, 2 Se 2.59
Mg  0.6086  0.1250  0.2500  2 S 2.48, 2 Se 2.59
Se  0.7500  0.2500  0.5000  4 Mg 2.59
Se  0.0000  0.0000  0.0000  4 Mg 2.59
S  0.5000  0.5000  0.0000  4 Mg 2.48
S  0.2500  0.7500  0.5000  4 Mg 2.48